An optimized crystal structure of CoSe2Cl. Source: Alexandria via LeMat-Bulk, functional PBE.

The uncorrected formation energy is -0.01 eV/atom.

The structure belongs to space group I-42d (No. 122); the cell edges are 6.3389, 6.3389 and 9.3463 Å and the angles 90.00°, 90.00° and 90.00°. Symmetry generates all atoms from Co at (0.0000, 0.0000, 0.0000), Se at (0.1593, 0.2500, 0.1250) and Cl at (0.0000, 0.0000, 0.5000).